YbV4O8 after structural relaxation, computed with PBE+U.

## Properties
- magnetization (Bohr magnetons per cell) = 11.8
- ρ (g/cm³) = 4.87
- ΔE to the lowest computed polymorph (meV/atom) = 73

a = 7.4888 Å, b = 7.5091 Å, c = 7.5543 Å
α = 101.97°, β = 102.83°, γ = 117.27°
Last column: nearest neighbours and their distance in Å.
Space group P-1 (No. 2)
Asymmetric unit:
Yb 0.2282 0.4978 0.4349 [2 per cell]  6 O 2.30-2.50
V 0.1147 0.8747 0.2528 [2 per cell]  3 O 1.76-1.91
V 0.2167 0.6188 0.9595 [2 per cell]  4 O 1.94-2.05
V 0.2311 0.9470 0.7638 [2 per cell]  4 O 1.92-2.03
V 0.3033 0.2333 0.1050 [2 per cell]  1 O 1.72
O 0.0648 0.1206 0.2381 [2 per cell]  3 V 2.03-2.16
O 0.1327 0.6106 0.1888 [2 per cell]  3 V 1.97-2.20
O 0.1694 0.6592 0.7012 [2 per cell]  2 V 1.92-2.02
O 0.1707 0.3191 0.9135 [2 per cell]  3 V 1.86-2.05
O 0.2205 0.9540 0.5072 [2 per cell]  2 V 1.76-1.93
O 0.2700 0.9535 0.0847 [2 per cell]  2 V 1.91-1.97
O 0.4698 0.2270 0.9366 [2 per cell]  3 V 1.92-1.98
O 0.4848 0.4513 0.3149 [2 per cell]  1 V 1.72